# CrSnO2

An optimized crystal structure of CrSnO2 (GGA+U, Alexandria).

Output
DOS(E_F) in states/eV/atom: 0.000
Relative energy among the computed polymorphs in eV per atom: 0.1475

abc: 16.207 5.531 7.403
angles: 90.00 151.12 90.00
Last column: magnetic moment on the atom in μB.
Fractional positions:
1 O 0.332 0.358 0.900  -0.02
2 Cr 0.653 0.954 0.926  3.72
3 Sn 0.567 0.499 0.418  0.03
4 Cr 0.847 0.454 0.574  3.72
5 O 0.969 0.747 0.929  -0.02
6 Cr 0.153 0.546 0.426  3.72
7 Sn 0.067 0.001 0.918  0.03
8 Sn 0.933 0.999 0.082  0.03
9 O 0.469 0.753 0.429  -0.02
10 O 0.668 0.642 0.100  -0.02
11 O 0.168 0.858 0.600  -0.02
12 O 0.832 0.142 0.400  -0.02
13 Cr 0.347 0.046 0.074  3.72
14 Sn 0.433 0.501 0.582  0.03
15 O 0.031 0.253 0.071  -0.02
16 O 0.531 0.247 0.571  -0.02